Entry from the Alexandria database: crystalline BaTl2Os at its relaxed geometry (GGA-PBEsol).

The calculation puts the formation energy at 199 kJ/mol of formula units. As for the theoretical density: 11.8 g cm⁻³. The volume comes out at 104.0 Å³/cell.

The structure belongs to space group P4mm (No. 99); the cell edges are 3.622, 3.622 and 7.925 Å and the angles 90.00°, 90.00° and 90.00°. The distinct sites, in fractional coordinates, are Ba at (0.000, 0.000, 0.000), Tl at (0.000, 0.000, 0.415), Tl at (0.500, 0.500, 0.659) and Os at (0.500, 0.500, 0.274).